[1]
{
  "formula": "SrErMgIn",
  "functional": "PBE-GGA",
  "state": "relaxed",
  "n_ef_per_ev_cell": 2.334,
  "rho_kg_m3": 5497,
  "formation_enthalpy_0k_mev_per_atom": -221,
  "cell": [[5.521, 0.000, 0.000], [2.761, 4.782, 0.000], [2.761, 1.594, 4.508]],
  "species": ["Mg", "In", "Er", "Sr"],
  "frac_coords": [[0.000, 0.000, 0.000], [0.500, 0.500, 0.500], [0.250, 0.250, 0.250], [0.750, 0.750, 0.750]]
}

---

[2]
{
  "formula": "Mn2MoIr",
  "functional": "PBE-GGA",
  "state": "relaxed",
  "n_ef_per_ev_cell": 4.747,
  "rho_kg_m3": 12366,
  "formation_enthalpy_0k_mev_per_atom": 16,
  "cell": [[-2.251, 1.177, -0.803], [-1.967, -2.746, 1.488], [-0.251, 2.724, 4.698]],
  "species": ["Ir", "Mn", "Mn", "Mo"],
  "frac_coords": [[0.500, 0.500, 0.750], [0.000, 0.000, 0.510], [0.000, 0.000, 0.990], [0.500, 0.500, 0.250]]
}